This record from Alexandria describes a PBEsol-optimized structure of YCdOs2. The functional is meta-GGA SCAN.

Unit cell a=3.1620 b=4.7296 c=9.2183 alpha=90.00 beta=90.00 gamma=90.00
Last column: nearest neighbours and their distance in Å.
Space group Cmmm (No. 65)
Asymmetric unit:
1 Y 0.0000 0.0000 0.0000 [2 per cell]  4 Os 2.78, 4 Y 2.84
2 Cd 0.0000 0.0000 0.5000 [2 per cell]  4 Os 2.81, 4 Cd 2.84
3 Os 0.0000 0.5000 0.2482 [4 per cell]  2 Y 2.78, 2 Cd 2.81, 4 Os 2.84

Results
Energy relative to the elements, kJ per mole of atoms: 54.96
N(E_F), states/eV/f.u.: 3.19

---

This record from Alexandria describes a PBEsol-optimized structure of YCdOs2. The functional is meta-GGA SCAN.

Unit cell a=5.7021 b=8.0038 c=3.0759 alpha=90.00 beta=90.00 gamma=90.00
Last column: nearest neighbours and their distance in Å.
Space group Cmmm (No. 65)
Asymmetric unit:
1 Y 0.0000 0.0000 0.0000 [2 per cell]  2 Cd 2.85, 8 Os 2.90, 2 Y 3.08
2 Cd 0.0000 0.5000 0.0000 [2 per cell]  2 Y 2.85, 8 Os 2.90, 2 Cd 3.08
3 Os 0.2500 0.2500 0.5000 [4 per cell]  4 Os 2.85-3.08, 4 Cd 2.90, 4 Y 2.90

Results
Energy relative to the elements, kJ per mole of atoms: 50.15
N(E_F), states/eV/f.u.: 3.69

---

This record from Alexandria describes a PBEsol-optimized structure of YCdOs2. The functional is meta-GGA SCAN.

Unit cell a=3.1759 b=4.5399 c=4.8334 alpha=90.00 beta=90.00 gamma=90.00
Last column: nearest neighbours and their distance in Å.
Space group Pmmm (No. 47)
Asymmetric unit:
1 Y 0.0000 0.0000 0.0000 [1 per cell]  4 Os 2.77, 4 Cd 2.89
2 Cd 0.5000 0.0000 0.5000 [1 per cell]  4 Os 2.77, 4 Y 2.89
3 Os 0.0000 0.5000 0.5000 [1 per cell]  4 Cd 2.77, 4 Os 2.89
4 Os 0.5000 0.5000 0.0000 [1 per cell]  4 Y 2.77, 4 Os 2.89

Results
Energy relative to the elements, kJ per mole of atoms: 43.83
N(E_F), states/eV/f.u.: 3.46

---

This record from Alexandria describes a PBEsol-optimized structure of Y2CdOs. The functional is meta-GGA SCAN.

Unit cell a=3.3675 b=3.3675 c=8.1673 alpha=90.00 beta=90.00 gamma=90.00
Last column: nearest neighbours and their distance in Å.
Space group P4mm (No. 99)
Asymmetric unit:
1 Y 0.0000 0.0000 0.0000 [1 per cell]  4 Os 2.85, 1 Cd 3.11
2 Y 0.5000 0.5000 0.3685 [1 per cell]  4 Cd 3.14, 4 Y 3.37
3 Cd 0.0000 0.0000 0.6195 [1 per cell]  4 Os 2.83, 5 Y 3.11-3.14
4 Os 0.5000 0.5000 0.8072 [1 per cell]  4 Cd 2.83, 4 Y 2.85

Results
Energy relative to the elements, kJ per mole of atoms: 6.81
N(E_F), states/eV/f.u.: 2.54

---

This record from Alexandria describes a PBEsol-optimized structure of Y2CdOs. The functional is meta-GGA SCAN.

Unit cell a=3.4098 b=3.4098 c=7.6227 alpha=90.00 beta=90.00 gamma=90.00
Last column: nearest neighbours and their distance in Å.
Space group P4/mmm (No. 123)
Asymmetric unit:
1 Y 0.0000 0.0000 0.2141 [2 per cell]  4 Os 2.91, 4 Cd 3.25
2 Cd 0.5000 0.5000 0.5000 [1 per cell]  8 Y 3.25, 4 Cd 3.41
3 Os 0.5000 0.5000 0.0000 [1 per cell]  8 Y 2.91

Results
Energy relative to the elements, kJ per mole of atoms: -42.13
N(E_F), states/eV/f.u.: 2.51

---

This record from Alexandria describes a PBEsol-optimized structure of ZnCdOs2. The functional is meta-GGA SCAN.

Unit cell a=9.1261 b=2.7885 c=4.8060 alpha=90.00 beta=101.49 gamma=90.00
Last column: nearest neighbours and their distance in Å.
Space group C2/m (No. 12)
Asymmetric unit:
1 Zn 0.0000 0.0000 0.0000 [2 per cell]  6 Os 2.65-2.78, 4 Cd 2.78, 2 Zn 2.79
2 Cd 0.0000 0.5000 0.5000 [2 per cell]  4 Zn 2.78, 6 Os 2.79-2.83, 2 Cd 2.79
3 Os 0.2416 0.5000 0.2257 [4 per cell]  4 Os 2.61-2.79, 3 Zn 2.65-2.78, 3 Cd 2.79-2.83

Results
ΔE to the lowest computed polymorph, meV per atom: 0.0
Energy relative to the elements, kJ per mole of atoms: 44.71
N(E_F), states/eV/f.u.: 2.46

---

This record from Alexandria describes a PBEsol-optimized structure of ZnCdOs2. The functional is meta-GGA SCAN.

Unit cell a=3.7789 b=3.7789 c=8.4828 alpha=90.00 beta=90.00 gamma=90.00
Last column: nearest neighbours and their distance in Å.
Space group I4/mmm (No. 139)
Asymmetric unit:
1 Zn 0.0000 0.0000 0.0000 [2 per cell]  4 Cd 2.67, 8 Os 2.84
2 Cd 0.0000 0.0000 0.5000 [2 per cell]  4 Zn 2.67, 8 Os 2.84
3 Os 0.0000 0.5000 0.2500 [4 per cell]  4 Os 2.67, 4 Cd 2.84, 4 Zn 2.84

Results
ΔE to the lowest computed polymorph, meV per atom: 241.0
Energy relative to the elements, kJ per mole of atoms: 67.96
N(E_F), states/eV/f.u.: 4.13

---

This record from Alexandria describes a PBEsol-optimized structure of Zn2CdOs. The functional is meta-GGA SCAN.

Unit cell a=2.8132 b=4.7613 c=9.2740 alpha=90.00 beta=90.00 gamma=90.00
Last column: nearest neighbours and their distance in Å.
Space group Cmmm (No. 65)
Asymmetric unit:
1 Zn 0.0000 0.0000 0.2312 [4 per cell]  2 Os 2.56, 6 Zn 2.77-2.81, 2 Cd 2.86
2 Cd 0.0000 0.5000 0.5000 [2 per cell]  6 Cd 2.77-2.81, 4 Zn 2.86
3 Os 0.0000 0.5000 0.0000 [2 per cell]  4 Zn 2.56, 6 Os 2.77-2.81

Results
Energy relative to the elements, kJ per mole of atoms: 27.73
N(E_F), states/eV/f.u.: 1.83